# 1
# AlRe5, relaxed, DFT PBE
data_AlRe5
_chemical_formula_sum 'Al4 Re20'
_space_group_name_H-M_alt 'F -4 3 m'
_space_group_IT_number 216
_space_group_name_Hall 'F -4 2 3'
_cell_length_a 7.260
_cell_length_b 7.260
_cell_length_c 7.260
_cell_angle_alpha 90.00
_cell_angle_beta 90.00
_cell_angle_gamma 90.00
loop_
_atom_site_label
_atom_site_fract_x
_atom_site_fract_y
_atom_site_fract_z
Al1 0.000 0.000 0.000
Re1 0.126 0.126 0.374
Re2 0.250 0.250 0.750
# energy: -10.60 eV/atom
# polymorph energy (0 for the lowest one): 437 meV/atom
# total magnetization: 0.0 μB/f.u.
# ΔE_f: 2.41 eV/f.u.
# calculated volume: 15.944 Å³ per atom

# 2
# PmGaAu, relaxed, DFT PBE
data_PmGaAu
_chemical_formula_sum 'Pm4 Ga4 Au4'
_space_group_name_H-M_alt 'F -4 3 m'
_space_group_IT_number 216
_space_group_name_Hall 'F -4 2 3'
_cell_length_a 6.723
_cell_length_b 6.723
_cell_length_c 6.723
_cell_angle_alpha 90.00
_cell_angle_beta 90.00
_cell_angle_gamma 90.00
loop_
_atom_site_label
_atom_site_fract_x
_atom_site_fract_y
_atom_site_fract_z
Pm1 0.000 0.000 0.000
Ga1 0.000 0.000 0.500
Au1 0.250 0.250 0.250
# energy: -4.28 eV/atom
# polymorph energy (0 for the lowest one): 176 meV/atom
# total magnetization: 0.0 μB/f.u.
# ΔE_f: -1.80 eV/f.u.
# calculated volume: 25.319 Å³ per atom

# 3
# EuLuPt, relaxed, DFT PBE
data_EuLuPt
_chemical_formula_sum 'Eu4 Lu4 Pt4'
_space_group_name_H-M_alt 'F -4 3 m'
_space_group_IT_number 216
_space_group_name_Hall 'F -4 2 3'
_cell_length_a 6.928
_cell_length_b 6.928
_cell_length_c 6.928
_cell_angle_alpha 90.00
_cell_angle_beta 90.00
_cell_angle_gamma 90.00
loop_
_atom_site_label
_atom_site_fract_x
_atom_site_fract_y
_atom_site_fract_z
Eu1 0.000 0.000 0.000
Lu1 0.000 0.000 0.500
Pt1 0.250 0.250 0.250
# energy: -7.71 eV/atom
# polymorph energy (0 for the lowest one): 0 meV/atom
# total magnetization: 7.2 μB/f.u.
# ΔE_f: -2.30 eV/f.u.
# calculated volume: 27.712 Å³ per atom

# 4
# TlAgS2, relaxed, DFT PBE
data_TlAgS2
_chemical_formula_sum 'Tl3 Ag3 S6'
_space_group_name_H-M_alt 'R 3 m'
_space_group_IT_number 160
_space_group_name_Hall 'R 3 -2"'
_cell_length_a 4.2360
_cell_length_b 4.2360
_cell_length_c 20.5106
_cell_angle_alpha 90.00
_cell_angle_beta 90.00
_cell_angle_gamma 120.00
loop_
_atom_site_label
_atom_site_fract_x
_atom_site_fract_y
_atom_site_fract_z
Tl1 0.0000 0.0000 0.0000
Ag1 0.0000 0.0000 0.4842
S1 0.0000 0.0000 0.1226
S2 0.0000 0.0000 0.6129
# energy: -3.46 eV/atom
# total magnetization: 0.0 μB/f.u.
# formation energy from raw total energies: -0.096 eV per atom
# calculated volume: 26.560 Å³ per atom

# 5
# CoP2Pd, relaxed, DFT PBE
data_CoP2Pd
_chemical_formula_sum 'Co4 P8 Pd4'
_space_group_name_H-M_alt 'I -4 2 d'
_space_group_IT_number 122
_space_group_name_Hall 'I -4 2bw'
_cell_length_a 5.199
_cell_length_b 5.199
_cell_length_c 10.212
_cell_angle_alpha 90.00
_cell_angle_beta 90.00
_cell_angle_gamma 90.00
loop_
_atom_site_label
_atom_site_fract_x
_atom_site_fract_y
_atom_site_fract_z
Co1 0.000 0.000 0.000
P1 0.214 0.250 0.125
Pd1 0.000 0.000 0.500
# energy: -5.94 eV/atom
# polymorph energy (0 for the lowest one): 0 meV/atom
# total magnetization: 0.0 μB/f.u.
# ΔE_f: -0.64 eV/f.u.
# calculated volume: 17.251 Å³ per atom

# 6
# Ac2SnPbO6, relaxed, DFT PBE
data_Ac2SnPbO6
_chemical_formula_sum 'Ac2 Sn1 Pb1 O6'
_space_group_name_H-M_alt 'P 4 m m'
_space_group_IT_number 99
_space_group_name_Hall 'P 4 -2'
_cell_length_a 5.753
_cell_length_b 5.753
_cell_length_c 5.612
_cell_angle_alpha 90.00
_cell_angle_beta 90.00
_cell_angle_gamma 90.00
loop_
_atom_site_label
_atom_site_fract_x
_atom_site_fract_y
_atom_site_fract_z
Ac1 0.000 0.500 0.000
Sn1 0.000 0.000 0.598
Pb1 0.500 0.500 0.545
O1 0.000 0.000 0.241
O2 0.233 0.233 0.743
O3 0.500 0.500 0.116
# energy: -6.81 eV/atom
# total magnetization: 0.0 μB/f.u.
# formation energy from raw total energies: -2.241 eV per atom
# calculated volume: 18.570 Å³ per atom

# 7
# Na3Sr2Cl7, relaxed, DFT PBE
data_Na3Sr2Cl7
_chemical_formula_sum 'Na12 Sr8 Cl28'
_space_group_name_H-M_alt 'C m c 21'
_space_group_IT_number 36
_space_group_name_Hall 'C 2c -2'
_cell_length_a 25.396
_cell_length_b 7.439
_cell_length_c 7.508
_cell_angle_alpha 90.00
_cell_angle_beta 90.00
_cell_angle_gamma 90.00
loop_
_atom_site_label
_atom_site_fract_x
_atom_site_fract_y
_atom_site_fract_z
Na1 0.000 0.231 0.000
Na2 0.202 0.280 0.093
Sr1 0.106 0.251 0.538
Cl1 0.000 0.119 0.638
Cl2 0.077 0.406 0.195
Cl3 0.137 0.082 0.868
Cl4 0.209 0.379 0.452
# energy: -3.79 eV/atom
# total magnetization: 0.0 μB/f.u.
# formation energy from raw total energies: -2.103 eV per atom
# calculated volume: 29.550 Å³ per atom

# 8
# LiBeN2O, relaxed, DFT PBE
data_LiBeN2O
_chemical_formula_sum 'Li1 Be1 N2 O1'
_space_group_name_H-M_alt 'P 4/m m m'
_space_group_IT_number 123
_space_group_name_Hall '-P 4 2'
_cell_length_a 3.376
_cell_length_b 3.376
_cell_length_c 3.764
_cell_angle_alpha 90.00
_cell_angle_beta 90.00
_cell_angle_gamma 90.00
loop_
_atom_site_label
_atom_site_fract_x
_atom_site_fract_y
_atom_site_fract_z
Li1 0.000 0.000 0.000
Be1 0.500 0.500 0.500
N1 0.000 0.500 0.500
O1 0.500 0.500 0.000
# energy: -4.90 eV/atom
# total magnetization: 1.5 μB/f.u.
# formation energy from raw total energies: 0.547 eV per atom
# calculated volume: 8.582 Å³ per atom

# 9
# TiPd12Au3, relaxed, DFT PBE
data_TiPd12Au3
_chemical_formula_sum 'Ti1 Pd12 Au3'
_space_group_name_H-M_alt 'P 4/m m m'
_space_group_IT_number 123
_space_group_name_Hall '-P 4 2'
_cell_length_a 3.981
_cell_length_b 3.981
_cell_length_c 15.969
_cell_angle_alpha 90.00
_cell_angle_beta 90.00
_cell_angle_gamma 90.00
loop_
_atom_site_label
_atom_site_fract_x
_atom_site_fract_y
_atom_site_fract_z
Ti1 0.000 0.000 0.000
Pd1 0.000 0.500 0.118
Pd2 0.000 0.500 0.374
Pd3 0.500 0.500 0.000
Pd4 0.500 0.500 0.246
Pd5 0.500 0.500 0.500
Au1 0.000 0.000 0.247
Au2 0.000 0.000 0.500
# energy: -5.21 eV/atom
# total magnetization: 0.0 μB/f.u.
# ΔE_f: -3.33 eV/f.u.
# calculated volume: 15.817 Å³ per atom

# 10
# Li2Tl3Pd8, relaxed, DFT PBE
data_Li2Tl3Pd8
_chemical_formula_sum 'Li6 Tl9 Pd24'
_space_group_name_H-M_alt 'R -3 m'
_space_group_IT_number 166
_space_group_name_Hall '-R 3 2"'
_cell_length_a 5.4513
_cell_length_b 5.4513
_cell_length_c 30.4296
_cell_angle_alpha 90.00
_cell_angle_beta 90.00
_cell_angle_gamma 120.00
loop_
_atom_site_label
_atom_site_fract_x
_atom_site_fract_y
_atom_site_fract_z
Li1 0.0000 0.0000 0.1745
Tl1 0.0000 0.0000 0.3509
Tl2 0.0000 0.0000 0.5000
Pd1 0.0000 0.0000 0.2599
Pd2 0.0084 0.5042 0.7612
# energy: -4.15 eV/atom
# total magnetization: 0.0 μB/f.u.
# ΔE_f: -1.44 eV/f.u.
# calculated volume: 20.080 Å³ per atom

# 11
# TiAs2H, relaxed, DFT PBE
data_TiAs2H
_chemical_formula_sum 'Ti4 As8 H4'
_space_group_name_H-M_alt 'I -4 2 d'
_space_group_IT_number 122
_space_group_name_Hall 'I -4 2bw'
_cell_length_a 5.977
_cell_length_b 5.977
_cell_length_c 6.254
_cell_angle_alpha 90.00
_cell_angle_beta 90.00
_cell_angle_gamma 90.00
loop_
_atom_site_label
_atom_site_fract_x
_atom_site_fract_y
_atom_site_fract_z
Ti1 0.000 0.000 0.000
As1 0.164 0.750 0.625
H1 0.000 0.000 0.500
# energy: -5.16 eV/atom
# polymorph energy (0 for the lowest one): 0 meV/atom
# total magnetization: 0.0 μB/f.u.
# calculated volume: 13.964 Å³ per atom

# 12
# La3YHo4, relaxed, DFT PBE
data_La3YHo4
_chemical_formula_sum 'La6 Y2 Ho8'
_space_group_name_H-M_alt 'P m n 21'
_space_group_IT_number 31
_space_group_name_Hall 'P 2ac -2'
_cell_length_a 11.557
_cell_length_b 7.372
_cell_length_c 6.362
_cell_angle_alpha 90.00
_cell_angle_beta 90.00
_cell_angle_gamma 90.00
loop_
_atom_site_label
_atom_site_fract_x
_atom_site_fract_y
_atom_site_fract_z
La1 0.000 0.125 0.000
La2 0.247 0.624 0.662
Y1 0.000 0.630 0.997
Ho1 0.000 0.373 0.495
Ho2 0.000 0.874 0.494
Ho3 0.248 0.122 0.661
# energy: -4.91 eV/atom
# polymorph energy (0 for the lowest one): 0 meV/atom
# total magnetization: 0.0 μB/f.u.
# ΔE_f: 0.27 eV/f.u.
# calculated volume: 33.874 Å³ per atom

# 13
# LaBeO2, relaxed, DFT PBE
data_LaBeO2
_chemical_formula_sum 'La4 Be4 O8'
_space_group_name_H-M_alt 'I -4 2 d'
_space_group_IT_number 122
_space_group_name_Hall 'I -4 2bw'
_cell_length_a 5.424
_cell_length_b 5.424
_cell_length_c 6.436
_cell_angle_alpha 90.00
_cell_angle_beta 90.00
_cell_angle_gamma 90.00
loop_
_atom_site_label
_atom_site_fract_x
_atom_site_fract_y
_atom_site_fract_z
La1 0.000 0.000 0.000
Be1 0.000 0.000 0.500
O1 0.119 0.250 0.625
# energy: -7.00 eV/atom
# total magnetization: 0.0 μB/f.u.
# formation energy from raw total energies: -2.362 eV per atom
# calculated volume: 11.835 Å³ per atom

# 14
# Nd7ErSc2, relaxed, DFT PBE
data_Nd7ErSc2
_chemical_formula_sum 'Nd14 Er2 Sc4'
_space_group_name_H-M_alt 'C m m m'
_space_group_IT_number 65
_space_group_name_Hall '-C 2 2'
_cell_length_a 9.019
_cell_length_b 15.501
_cell_length_c 5.592
_cell_angle_alpha 90.00
_cell_angle_beta 90.00
_cell_angle_gamma 90.00
loop_
_atom_site_label
_atom_site_fract_x
_atom_site_fract_y
_atom_site_fract_z
Nd1 0.000 0.000 0.000
Nd2 0.000 0.254 0.500
Nd3 0.183 0.379 0.000
Er1 0.000 0.500 0.500
Sc1 0.000 0.203 0.000
# energy: -4.46 eV/atom
# total magnetization: 0.0 μB/f.u.
# ΔE_f: 5.97 eV/f.u.
# calculated volume: 39.093 Å³ per atom

# 15
# HoEr2TmBi5, relaxed, DFT PBE
data_HoEr2TmBi5
_chemical_formula_sum 'Ho1 Er2 Tm1 Bi5'
_space_group_name_H-M_alt 'P 4/m m m'
_space_group_IT_number 123
_space_group_name_Hall '-P 4 2'
_cell_length_a 5.358
_cell_length_b 5.358
_cell_length_c 11.820
_cell_angle_alpha 90.00
_cell_angle_beta 90.00
_cell_angle_gamma 90.00
loop_
_atom_site_label
_atom_site_fract_x
_atom_site_fract_y
_atom_site_fract_z
Ho1 0.000 0.000 0.000
Er1 0.500 0.500 0.266
Tm1 0.000 0.000 0.500
Bi1 0.000 0.000 0.246
Bi2 0.000 0.500 0.500
Bi3 0.500 0.500 0.000
# energy: -4.12 eV/atom
# total magnetization: 0.0 μB/f.u.
# ΔE_f: 0.53 eV/f.u.
# calculated volume: 37.701 Å³ per atom

# 16
# AcPr2Bi3, relaxed, DFT PBE
data_AcPr2Bi3
_chemical_formula_sum 'Ac2 Pr4 Bi6'
_space_group_name_H-M_alt 'I m m m'
_space_group_IT_number 71
_space_group_name_Hall '-I 2 2'
_cell_length_a 4.725
_cell_length_b 6.687
_cell_length_c 14.164
_cell_angle_alpha 90.00
_cell_angle_beta 90.00
_cell_angle_gamma 90.00
loop_
_atom_site_label
_atom_site_fract_x
_atom_site_fract_y
_atom_site_fract_z
Ac1 0.000 0.000 0.000
Pr1 0.000 0.000 0.335
Bi1 0.000 0.500 0.000
Bi2 0.000 0.500 0.327
# energy: -5.18 eV/atom
# total magnetization: 0.0 μB/f.u.
# ΔE_f: -5.77 eV/f.u.
# calculated volume: 37.292 Å³ per atom

# 17
# AsIr2Os, relaxed, DFT PBE
data_AsIr2Os
_chemical_formula_sum 'As3 Ir6 Os3'
_space_group_name_H-M_alt 'R -3 m'
_space_group_IT_number 166
_space_group_name_Hall '-R 3 2"'
_cell_length_a 2.8263
_cell_length_b 2.8263
_cell_length_c 25.6551
_cell_angle_alpha 90.00
_cell_angle_beta 90.00
_cell_angle_gamma 120.00
loop_
_atom_site_label
_atom_site_fract_x
_atom_site_fract_y
_atom_site_fract_z
As1 0.0000 0.0000 0.0000
Ir1 0.0000 0.0000 0.2515
Os1 0.0000 0.0000 0.5000
# energy: -8.22 eV/atom
# total magnetization: 0.0 μB/f.u.
# ΔE_f: 0.73 eV/f.u.
# calculated volume: 14.790 Å³ per atom

# 18
# Na4La3HfSe8, relaxed, DFT PBE
data_Na4La3HfSe8
_chemical_formula_sum 'Na12 La9 Hf3 Se24'
_space_group_name_H-M_alt 'R -3 m'
_space_group_IT_number 166
_space_group_name_Hall '-R 3 2"'
_cell_length_a 8.4794
_cell_length_b 8.4794
_cell_length_c 21.0421
_cell_angle_alpha 90.00
_cell_angle_beta 90.00
_cell_angle_gamma 120.00
loop_
_atom_site_label
_atom_site_fract_x
_atom_site_fract_y
_atom_site_fract_z
Na1 0.0000 0.0000 0.0000
Na2 0.0000 0.5000 0.0000
La1 0.0000 0.5000 0.5000
Hf1 0.0000 0.0000 0.5000
Se1 0.0000 0.0000 0.2489
Se2 0.0277 0.5138 0.2431
# energy: -5.21 eV/atom
# total magnetization: 0.0 μB/f.u.
# formation energy from raw total energies: -1.591 eV per atom
# calculated volume: 27.295 Å³ per atom

# 19
# LaYIr, relaxed, DFT PBE
data_LaYIr
_chemical_formula_sum 'La1 Y1 Ir1'
_space_group_name_H-M_alt 'P 3 m 1'
_space_group_IT_number 156
_space_group_name_Hall 'P 3 -2"'
_cell_length_a 4.1864
_cell_length_b 4.1864
_cell_length_c 6.3880
_cell_angle_alpha 90.00
_cell_angle_beta 90.00
_cell_angle_gamma 120.00
loop_
_atom_site_label
_atom_site_fract_x
_atom_site_fract_y
_atom_site_fract_z
La1 0.0000 0.0000 0.0000
Y1 0.6667 0.3333 0.5446
Ir1 0.3333 0.6667 0.7648
# energy: -7.31 eV/atom
# polymorph energy (0 for the lowest one): 58 meV/atom
# total magnetization: 0.0 μB/f.u.
# ΔE_f: -1.68 eV/f.u.
# calculated volume: 32.320 Å³ per atom

# 20
# MgVPt, relaxed, DFT PBE
data_MgVPt
_chemical_formula_sum 'Mg8 V8 Pt8'
_space_group_name_H-M_alt 'F m m m'
_space_group_IT_number 69
_space_group_name_Hall '-F 2 2'
_cell_length_a 5.107
_cell_length_b 6.614
_cell_length_c 12.098
_cell_angle_alpha 90.00
_cell_angle_beta 90.00
_cell_angle_gamma 90.00
loop_
_atom_site_label
_atom_site_fract_x
_atom_site_fract_y
_atom_site_fract_z
Mg1 0.250 0.250 0.250
V1 0.000 0.146 0.000
Pt1 0.000 0.000 0.391
# energy: -5.68 eV/atom
# total magnetization: 0.0 μB/f.u.
# ΔE_f: -0.28 eV/f.u.
# calculated volume: 17.026 Å³ per atom